Entry 1:
Below is crystalline TmTlGe2Br8 at its relaxed geometry, with properties calculated at the PBE level.

a b c (Å): 6.6215 7.3086 9.2834
angles (deg): 85.79 89.79 85.58
Closest atoms and distances in Å follow each position.
Space group P-1 (No. 2)
Symmetry-distinct sites (fractional):
Tm  0.0000  0.0000  0.0000  6 Br 2.73-2.83
Tl  0.0000  0.0000  0.5000  6 Br 3.28-3.35
Ge  0.4563  0.4434  0.7639  2 Br 2.46-2.60
Br  0.2260  0.8228  0.7979  1 Tm 2.73
Br  0.2278  0.3133  0.9699  1 Ge 2.60, 1 Tm 2.83
Br  0.2695  0.3595  0.5535  1 Ge 2.46
Br  0.2689  0.8630  0.2213  1 Ge 2.77, 1 Tm 2.80

Results
For the total magnetization, the calculation gives 0.0 μB/f.u. Its uncorrected formation energy is -23.2 kcal/mol of atoms. The calculation puts the total energy at -41.54 eV/cell. The density of states at the Fermi level is 0.000 states/eV per atom.



Entry 2:
Below is crystalline YTlGe2Br8 at its relaxed geometry, with properties calculated at the PBE level.

a b c (Å): 6.6648 7.2841 9.2901
angles (deg): 85.74 88.84 85.93
Closest atoms and distances in Å follow each position.
Space group P-1 (No. 2)
Symmetry-distinct sites (fractional):
Y  0.0000  0.0000  0.0000  6 Br 2.78-2.88
Tl  0.0000  0.0000  0.5000  6 Br 3.28-3.36
Ge  0.4573  0.4510  0.7603  2 Br 2.46-2.61
Br  0.2298  0.8228  0.7919  1 Y 2.78, 1 Ge 3.04
Br  0.2346  0.3181  0.9716  1 Ge 2.61, 1 Y 2.88
Br  0.2658  0.8566  0.2215  1 Ge 2.80, 1 Y 2.83
Br  0.2701  0.3604  0.5542  1 Ge 2.46

Results
For the total magnetization, the calculation gives 0.0 μB/f.u. Its uncorrected formation energy is -23.4 kcal/mol of atoms. The calculation puts the total energy at -43.62 eV/cell. The density of states at the Fermi level is 0.000 states/eV per atom.



Entry 3:
Below is crystalline Tl2ZnGeBr6 at its relaxed geometry, with properties calculated at the PBE level.

a b c (Å): 7.7096 7.7096 23.0888
angles (deg): 90.00 90.00 120.00
Closest atoms and distances in Å follow each position.
Space group R3 (No. 146, hexagonal axes)
Symmetry-distinct sites (fractional):
Tl  0.0000  0.0000  0.0000  6 Br 3.33-3.45
Tl  0.0000  0.0000  0.4876  6 Br 3.37-3.44
Zn  0.0000  0.0000  0.2569  3 Br 2.35
Ge  0.0000  0.0000  0.7055  3 Br 2.56
Br  0.0051  0.3927  0.9269  1 Zn 2.35
Br  0.0234  0.6133  0.4281  1 Ge 2.56

Results
For the total magnetization, the calculation gives 0.0 μB/f.u. Its uncorrected formation energy is -17.6 kcal/mol of atoms. The calculation puts the total energy at -84.83 eV/cell. The density of states at the Fermi level is 0.000 states/eV per atom.



Entry 4:
Below is crystalline Tm4GeBr5 at its relaxed geometry, with properties calculated at the PBE level.

a b c (Å): 17.8981 3.9998 8.2790
angles (deg): 90.00 102.43 90.00
Closest atoms and distances in Å follow each position.
Space group C2/m (No. 12)
Symmetry-distinct sites (fractional):
Tm  0.0008  0.0000  0.2222  2 Ge 2.72, 1 Br 2.91
Tm  0.1519  0.5000  0.0784  1 Ge 2.65, 4 Br 2.85-2.90
Ge  0.0000  0.5000  0.0000  6 Tm 2.65-2.72
Br  0.0000  0.5000  0.5000  4 Tm 3.05
Br  0.1669  0.0000  0.3288  3 Tm 2.85-2.91
Br  0.1732  0.0000  0.8384  4 Tm 2.90-3.06

Results
For the total magnetization, the calculation gives 0.0 μB/f.u. Its uncorrected formation energy is -31.9 kcal/mol of atoms. The calculation puts the total energy at -89.44 eV/cell. The density of states at the Fermi level is 0.357 states/eV per atom.



Entry 5:
Below is crystalline TmGeBr2 at its relaxed geometry, with properties calculated at the PBE level.

a b c (Å): 3.6431 3.6431 30.4310
angles (deg): 90.00 90.00 120.00
Closest atoms and distances in Å follow each position.
Space group R-3m (No. 166, hexagonal axes)
Symmetry-distinct sites (fractional):
Tm  0.0000  0.0000  0.0000  2 Br 2.69
Ge  0.0000  0.0000  0.5000  6 Br 3.18
Br  0.0000  0.0000  0.0883  1 Tm 2.69

Results
For the total magnetization, the calculation gives 0.0 μB/f.u. Its uncorrected formation energy is -7.3 kcal/mol of atoms. The calculation puts the total energy at -41.09 eV/cell. The density of states at the Fermi level is 0.424 states/eV per atom.



Entry 6:
Below is crystalline TmGe2Br8 at its relaxed geometry, with properties calculated at the PBE level.

a b c (Å): 12.1817 10.8570 7.3042
angles (deg): 90.00 105.16 90.00
Closest atoms and distances in Å follow each position.
Space group C2/m (No. 12)
Symmetry-distinct sites (fractional):
Tm  0.0000  0.0000  0.0000  6 Br 2.78
Ge  0.1822  0.0000  0.6400  3 Br 2.38-2.65
Br  0.0853  0.1753  0.7963  1 Ge 2.65, 1 Tm 2.78
Br  0.1244  0.5000  0.1783  1 Ge 2.38
Br  0.2079  0.0000  0.2718  1 Tm 2.78, 1 Ge 2.79

Results
For the total magnetization, the calculation gives 0.0 μB/f.u. Its uncorrected formation energy is -21.4 kcal/mol of atoms. The calculation puts the total energy at -74.55 eV/cell. The density of states at the Fermi level is 0.563 states/eV per atom.



Entry 7:
Below is crystalline TmGeBr at its relaxed geometry, with properties calculated at the PBE level.

a b c (Å): 22.8281 3.9749 7.8064
angles (deg): 90.00 94.49 90.00
Closest atoms and distances in Å follow each position.
Space group C2/m (No. 12)
Symmetry-distinct sites (fractional):
Tm  0.1568  0.0000  0.0943  3 Br 2.80-3.06, 4 Ge 2.86-2.93
Tm  0.1569  0.0000  0.6092  3 Br 2.81-3.04, 4 Ge 2.88-2.91
Ge  0.2470  0.5000  0.1280  4 Ge 2.77-2.83, 4 Tm 2.86-2.90
Ge  0.2500  0.0000  0.3755  4 Ge 2.77-2.78, 4 Tm 2.90-2.93
Br  0.0709  0.0000  0.3316  2 Tm 2.80-2.81
Br  0.0987  0.5000  0.8362  4 Tm 3.04-3.06

Results
For the total magnetization, the calculation gives 0.0 μB/f.u. Its uncorrected formation energy is -23.7 kcal/mol of atoms. The calculation puts the total energy at -110.78 eV/cell. The density of states at the Fermi level is 0.198 states/eV per atom.



Entry 8:
Below is crystalline UGeBr6 at its relaxed geometry, with properties calculated at the PBE level.

a b c (Å): 13.2228 8.9130 10.5558
angles (deg): 90.00 100.88 90.00
Closest atoms and distances in Å follow each position.
Space group C2/c (No. 15)
Symmetry-distinct sites (fractional):
U  0.2500  0.2500  0.0000  6 Br 2.67-2.93
Ge  0.0000  0.0768  0.2500  4 Br 2.59-2.88
Br  0.0682  0.2866  0.1184  1 Ge 2.59
Br  0.1387  0.3248  0.7707  1 U 2.67
Br  0.1789  0.0473  0.4509  1 U 2.83, 1 Ge 2.88

Results
For the total magnetization, the calculation gives 2.0 μB/f.u. Its uncorrected formation energy is -22.4 kcal/mol of atoms. The calculation puts the total energy at -134.83 eV/cell. The density of states at the Fermi level is 0.189 states/eV per atom.



Entry 9:
Below is crystalline UGe2Br8 at its relaxed geometry, with properties calculated at the PBE level.

a b c (Å): 14.0946 7.9258 8.0851
angles (deg): 90.00 90.98 90.00
Closest atoms and distances in Å follow each position.
Space group C2/m (No. 12)
Symmetry-distinct sites (fractional):
U  0.0000  0.0000  0.0000  6 Br 2.71-2.85
Ge  0.1321  0.0000  0.4493  1 Br 2.38
Br  0.0686  0.2378  0.2377  1 Ge 2.69, 1 U 2.85
Br  0.1726  0.0000  0.8565  1 U 2.71
Br  0.2048  0.5000  0.6238  1 Ge 2.38

Results
The energy above the most stable polymorph in this dataset comes out at 0.0 kJ per mole of atoms. For the total magnetization, the calculation gives 2.0 μB/f.u. Its uncorrected formation energy is -19.9 kcal/mol of atoms. The calculation puts the total energy at -86.80 eV/cell. The density of states at the Fermi level is 0.322 states/eV per atom.



Entry 10:
Below is crystalline VGeBr3 at its relaxed geometry, with properties calculated at the PBE level.

a b c (Å): 5.1457 5.1457 5.1457
angles (deg): 90.00 90.00 90.00
Closest atoms and distances in Å follow each position.
Space group Pm-3m (No. 221)
Symmetry-distinct sites (fractional):
V  0.0000  0.0000  0.0000  6 Br 2.57
Ge  0.5000  0.5000  0.5000  12 Br 3.64
Br  0.0000  0.0000  0.5000  2 V 2.57

Results
The energy above the most stable polymorph in this dataset comes out at 0.0 kJ per mole of atoms. For the total magnetization, the calculation gives 4.0 μB/f.u. Its uncorrected formation energy is -2.1 kcal/mol of atoms. The calculation puts the total energy at -19.22 eV/cell. The density of states at the Fermi level is 0.537 states/eV per atom.



Entry 11:
Below is crystalline VGeBr4 at its relaxed geometry, with properties calculated at the PBE level.

a b c (Å): 15.2290 3.9371 6.8967
angles (deg): 90.00 116.49 90.00
Closest atoms and distances in Å follow each position.
Space group C2/m (No. 12)
Symmetry-distinct sites (fractional):
V  0.0000  0.0000  0.0000  6 Br 2.65-2.67
Ge  0.0000  0.5000  0.5000  6 Br 2.82-2.83
Br  0.1080  0.5000  0.9566  2 V 2.67, 1 Ge 2.83
Br  0.1139  0.0000  0.4242  1 V 2.65, 2 Ge 2.82

Results
For the total magnetization, the calculation gives 3.0 μB/f.u. Its uncorrected formation energy is -15.5 kcal/mol of atoms. The calculation puts the total energy at -48.93 eV/cell.